--- A ---
# PBE Ge2SbAs2, optimized geometry
data_Ge2SbAs2
_chemical_formula_sum 'Ge4 Sb2 As4'
_symmetry_space_group_name_H-M 'P 4/m b m'
_symmetry_Int_Tables_number 127
_symmetry_space_group_name_Hall '-P 4 2ab'
_cell_length_a 7.8693
_cell_length_b 7.8693
_cell_length_c 3.4814
_cell_angle_alpha 90.00
_cell_angle_beta 90.00
_cell_angle_gamma 90.00
loop_
_atom_site_label
_atom_site_type_symbol
_atom_site_fract_x
_atom_site_fract_y
_atom_site_fract_z
Ge1 Ge 0.1395 0.3605 0.0000
Sb1 Sb 0.0000 0.0000 0.5000
As1 As 0.1602 0.6602 0.5000
# density	6422	kg/m3
# crystal system	tetragonal
# M_tot	0.0000	μB/atom

=====

--- B ---
# PBE Ge2SbAs2, optimized geometry
data_Ge2SbAs2
_chemical_formula_sum 'Ge4 Sb2 As4'
_symmetry_space_group_name_H-M 'I 4/m m m'
_symmetry_Int_Tables_number 139
_symmetry_space_group_name_Hall '-I 4 2'
_cell_length_a 3.8665
_cell_length_b 3.8665
_cell_length_c 14.6936
_cell_angle_alpha 90.00
_cell_angle_beta 90.00
_cell_angle_gamma 90.00
loop_
_atom_site_label
_atom_site_type_symbol
_atom_site_fract_x
_atom_site_fract_y
_atom_site_fract_z
Ge1 Ge 0.0000 0.5000 0.2500
Sb1 Sb 0.0000 0.0000 0.0000
As1 As 0.0000 0.0000 0.3989
# density	6303	kg/m3
# crystal system	tetragonal
# M_tot	0.0000	μB/atom

=====

It is A that is the most stable of them.

=====

--- A ---
# PBE Ge2SbAs, optimized geometry
data_Ge2SbAs
_chemical_formula_sum 'Ge6 Sb3 As3'
_symmetry_space_group_name_H-M 'R -3 m'
_symmetry_Int_Tables_number 166
_symmetry_space_group_name_Hall '-R 3 2"'
_cell_length_a 4.1815
_cell_length_b 4.1815
_cell_length_c 23.5495
_cell_angle_alpha 90.00
_cell_angle_beta 90.00
_cell_angle_gamma 120.00
loop_
_atom_site_label
_atom_site_type_symbol
_atom_site_fract_x
_atom_site_fract_y
_atom_site_fract_z
Ge1 Ge 0.0000 0.0000 0.1020
Sb1 Sb 0.0000 0.0000 0.5000
As1 As 0.0000 0.0000 0.0000
# density	4777	kg/m3
# crystal system	trigonal
# M_tot	0.0000	μB/atom

=====

--- B ---
# PBE Ge2SbAs, optimized geometry
data_Ge2SbAs
_chemical_formula_sum 'Ge8 Sb4 As4'
_symmetry_space_group_name_H-M 'F m -3 m'
_symmetry_Int_Tables_number 225
_symmetry_space_group_name_Hall '-F 4 2 3'
_cell_length_a 6.9684
_cell_length_b 6.9684
_cell_length_c 6.9684
_cell_angle_alpha 90.00
_cell_angle_beta 90.00
_cell_angle_gamma 90.00
loop_
_atom_site_label
_atom_site_type_symbol
_atom_site_fract_x
_atom_site_fract_y
_atom_site_fract_z
Ge1 Ge 0.2500 0.2500 0.2500
Sb1 Sb 0.0000 0.0000 0.0000
As1 As 0.0000 0.0000 0.5000
# density	6713	kg/m3
# crystal system	cubic
# M_tot	0.0000	μB/atom

=====

--- C ---
# PBE Ge2SbAs, optimized geometry
data_Ge2SbAs
_chemical_formula_sum 'Ge8 Sb4 As4'
_symmetry_space_group_name_H-M 'I -4 2 d'
_symmetry_Int_Tables_number 122
_symmetry_space_group_name_Hall 'I -4 2bw'
_cell_length_a 6.6329
_cell_length_b 6.6329
_cell_length_c 10.1364
_cell_angle_alpha 90.00
_cell_angle_beta 90.00
_cell_angle_gamma 90.00
loop_
_atom_site_label
_atom_site_type_symbol
_atom_site_fract_x
_atom_site_fract_y
_atom_site_fract_z
Ge1 Ge 0.2260 0.2500 0.1250
Sb1 Sb 0.0000 0.0000 0.5000
As1 As 0.0000 0.0000 0.0000
# density	5093	kg/m3
# crystal system	tetragonal
# M_tot	0.0000	μB/atom

=====

It is C that is the most stable of them.

=====

--- A ---
# PBE GeSbAs3, optimized geometry
data_GeSbAs3
_chemical_formula_sum 'Ge1 Sb1 As3'
_symmetry_space_group_name_H-M 'P m -3 m'
_symmetry_Int_Tables_number 221
_symmetry_space_group_name_Hall '-P 4 2 3'
_cell_length_a 5.2474
_cell_length_b 5.2474
_cell_length_c 5.2474
_cell_angle_alpha 90.00
_cell_angle_beta 90.00
_cell_angle_gamma 90.00
loop_
_atom_site_label
_atom_site_type_symbol
_atom_site_fract_x
_atom_site_fract_y
_atom_site_fract_z
Ge1 Ge 0.0000 0.0000 0.0000
Sb1 Sb 0.5000 0.5000 0.5000
As1 As 0.0000 0.5000 0.5000
# density	4817	kg/m3
# crystal system	cubic
# M_tot	0.0000	μB/atom

=====

--- B ---
# PBE GeSbAs3, optimized geometry
data_GeSbAs3
_chemical_formula_sum 'Ge1 Sb1 As3'
_symmetry_space_group_name_H-M 'P m -3 m'
_symmetry_Int_Tables_number 221
_symmetry_space_group_name_Hall '-P 4 2 3'
_cell_length_a 4.9441
_cell_length_b 4.9441
_cell_length_c 4.9441
_cell_angle_alpha 90.00
_cell_angle_beta 90.00
_cell_angle_gamma 90.00
loop_
_atom_site_label
_atom_site_type_symbol
_atom_site_fract_x
_atom_site_fract_y
_atom_site_fract_z
Ge1 Ge 0.0000 0.0000 0.0000
Sb1 Sb 0.5000 0.5000 0.5000
As1 As 0.0000 0.0000 0.5000
# density	5759	kg/m3
# crystal system	cubic
# M_tot	0.0000	μB/atom

=====

It is B that is the most stable of them.

=====

--- A ---
# PBE GeSb2As2, optimized geometry
data_GeSb2As2
_chemical_formula_sum 'Ge2 Sb4 As4'
_symmetry_space_group_name_H-M 'P 4/m b m'
_symmetry_Int_Tables_number 127
_symmetry_space_group_name_Hall '-P 4 2ab'
_cell_length_a 7.9430
_cell_length_b 7.9430
_cell_length_c 3.8576
_cell_angle_alpha 90.00
_cell_angle_beta 90.00
_cell_angle_gamma 90.00
loop_
_atom_site_label
_atom_site_type_symbol
_atom_site_fract_x
_atom_site_fract_y
_atom_site_fract_z
Ge1 Ge 0.0000 0.0000 0.0000
Sb1 Sb 0.1612 0.3388 0.5000
As1 As 0.1672 0.6672 0.0000
# density	6359	kg/m3
# crystal system	tetragonal
# M_tot	0.0000	μB/atom

=====

--- B ---
# PBE GeSb2As2, optimized geometry
data_GeSb2As2
_chemical_formula_sum 'Ge2 Sb4 As4'
_symmetry_space_group_name_H-M 'I 4/m m m'
_symmetry_Int_Tables_number 139
_symmetry_space_group_name_Hall '-I 4 2'
_cell_length_a 3.8154
_cell_length_b 3.8154
_cell_length_c 16.5106
_cell_angle_alpha 90.00
_cell_angle_beta 90.00
_cell_angle_gamma 90.00
loop_
_atom_site_label
_atom_site_type_symbol
_atom_site_fract_x
_atom_site_fract_y
_atom_site_fract_z
Ge1 Ge 0.0000 0.0000 0.0000
Sb1 Sb 0.0000 0.0000 0.4057
As1 As 0.0000 0.5000 0.2500
# density	6439	kg/m3
# crystal system	tetragonal
# M_tot	0.0000	μB/atom

=====

It is A that is the most stable of them.

=====

--- A ---
# PBE GeSbAsSe2, optimized geometry
data_GeSbAsSe2
_chemical_formula_sum 'Ge1 Sb1 As1 Se2'
_symmetry_space_group_name_H-M 'P 4/m m m'
_symmetry_Int_Tables_number 123
_symmetry_space_group_name_Hall '-P 4 2'
_cell_length_a 5.2778
_cell_length_b 5.2778
_cell_length_c 5.2719
_cell_angle_alpha 90.00
_cell_angle_beta 90.00
_cell_angle_gamma 90.00
loop_
_atom_site_label
_atom_site_type_symbol
_atom_site_fract_x
_atom_site_fract_y
_atom_site_fract_z
Ge1 Ge 0.0000 0.0000 0.0000
Sb1 Sb 0.5000 0.5000 0.5000
As1 As 0.5000 0.5000 0.0000
Se1 Se 0.0000 0.5000 0.5000
# density	4831	kg/m3
# crystal system	tetragonal
# M_tot	0.0000	μB/atom

=====

--- B ---
# PBE GeSbAsSe2, optimized geometry
data_GeSbAsSe2
_chemical_formula_sum 'Ge1 Sb1 As1 Se2'
_symmetry_space_group_name_H-M 'P 4/m m m'
_symmetry_Int_Tables_number 123
_symmetry_space_group_name_Hall '-P 4 2'
_cell_length_a 4.9750
_cell_length_b 4.9750
_cell_length_c 4.9747
_cell_angle_alpha 90.00
_cell_angle_beta 90.00
_cell_angle_gamma 90.00
loop_
_atom_site_label
_atom_site_type_symbol
_atom_site_fract_x
_atom_site_fract_y
_atom_site_fract_z
Ge1 Ge 0.0000 0.0000 0.0000
Sb1 Sb 0.5000 0.5000 0.5000
As1 As 0.0000 0.0000 0.5000
Se1 Se 0.0000 0.5000 0.0000
# density	5762	kg/m3
# crystal system	tetragonal
# M_tot	0.0000	μB/atom

=====

It is B that is the most stable of them.

=====

--- A ---
# PBE GeSbAs2Se, optimized geometry
data_GeSbAs2Se
_chemical_formula_sum 'Ge1 Sb1 As2 Se1'
_symmetry_space_group_name_H-M 'P 4/m m m'
_symmetry_Int_Tables_number 123
_symmetry_space_group_name_Hall '-P 4 2'
_cell_length_a 4.9791
_cell_length_b 4.9791
_cell_length_c 4.9235
_cell_angle_alpha 90.00
_cell_angle_beta 90.00
_cell_angle_gamma 90.00
loop_
_atom_site_label
_atom_site_type_symbol
_atom_site_fract_x
_atom_site_fract_y
_atom_site_fract_z
Ge1 Ge 0.0000 0.0000 0.0000
Sb1 Sb 0.5000 0.5000 0.5000
As1 As 0.0000 0.5000 0.0000
Se1 Se 0.0000 0.0000 0.5000
# density	5757	kg/m3
# crystal system	tetragonal
# M_tot	0.0000	μB/atom

=====

--- B ---
# PBE GeSbAs2Se, optimized geometry
data_GeSbAs2Se
_chemical_formula_sum 'Ge1 Sb1 As2 Se1'
_symmetry_space_group_name_H-M 'P 4/m m m'
_symmetry_Int_Tables_number 123
_symmetry_space_group_name_Hall '-P 4 2'
_cell_length_a 5.2630
_cell_length_b 5.2630
_cell_length_c 5.2858
_cell_angle_alpha 90.00
_cell_angle_beta 90.00
_cell_angle_gamma 90.00
loop_
_atom_site_label
_atom_site_type_symbol
_atom_site_fract_x
_atom_site_fract_y
_atom_site_fract_z
Ge1 Ge 0.0000 0.0000 0.0000
Sb1 Sb 0.5000 0.5000 0.5000
As1 As 0.0000 0.5000 0.5000
Se1 Se 0.5000 0.5000 0.0000
# density	4800	kg/m3
# crystal system	tetragonal
# M_tot	0.0000	μB/atom

=====

It is A that is the most stable of them.